--- one ---
Compound: HfTc3Ag
Source: the Alexandria database
Functional: PBE-GGA
Structure: optimized geometry

```
5
Lattice="4.755 0.000 0.000 0.000 4.755 0.000 0.000 0.000 4.755" Properties=species:S:1:pos:R:3 pbc="T T T"
Hf 0.000 0.000 0.000
Tc 0.000 2.377 0.000
Tc 0.000 0.000 2.377
Tc 2.377 0.000 0.000
Ag 2.377 2.377 2.377
```

Results
The magnetic moment is 0.543 μB/atom. The space group is Pm-3m, No. 221. The value obtained for the mass density is 8.97 Mg/m³.



--- two ---
Compound: HfTc3Ag
Source: the Alexandria database
Functional: PBE-GGA
Structure: optimized geometry

```
5
Lattice="-4.172 1.617 1.554 -1.965 -4.217 -0.886 1.081 -1.425 4.385" Properties=species:S:1:pos:R:3 pbc="T T T"
Hf -2.528 -2.013 2.527
Tc -0.982 -2.109 -0.443
Tc 0.540 -0.713 2.193
Tc -2.086 0.809 0.777
Ag 0.000 0.000 0.000
```

Results
The magnetic moment is 0.804 μB/atom. The space group is Pm-3m, No. 221. The value obtained for the mass density is 9.07 Mg/m³.



Stability summary: most stable one, least stable two.



--- one ---
Compound: HfAgTe3
Source: the Alexandria database
Functional: PBE-GGA
Structure: optimized geometry

```
10
Lattice="4.489 0.000 0.000 0.000 7.622 -0.617 -2.245 -2.255 9.180" Properties=species:S:1:pos:R:3 pbc="T T T"
Hf 2.245 4.578 4.803
Hf 0.000 0.789 3.761
Ag 2.245 5.546 -0.094
Ag 0.000 -0.179 8.657
Te 2.245 4.132 7.753
Te 0.000 1.235 0.811
Te 0.000 -1.194 6.084
Te 2.245 6.561 2.480
Te 0.000 3.625 3.086
Te 2.245 1.742 5.478
```

Results
The magnetic moment is 0.000 μB/atom. The space group is C2/m, No. 12. The value obtained for the mass density is 7.22 Mg/m³.



--- two ---
Compound: HfAgTe3
Source: the Alexandria database
Functional: PBE-GGA
Structure: optimized geometry

```
5
Lattice="5.561 0.000 0.000 0.000 5.561 0.000 0.000 0.000 5.561" Properties=species:S:1:pos:R:3 pbc="T T T"
Te 0.000 2.781 0.000
Te 0.000 0.000 2.781
Te 2.781 0.000 0.000
Hf 0.000 0.000 0.000
Ag 2.781 2.781 2.781
```

Results
The magnetic moment is 0.000 μB/atom. The space group is Pm-3m, No. 221. The value obtained for the mass density is 6.46 Mg/m³.



Stability summary: most stable one, least stable two.



--- one ---
Compound: YHfAg2Te
Source: the Alexandria database
Functional: PBE-GGA
Structure: optimized geometry

```
5
Lattice="-4.096 -1.766 2.791 2.884 -4.796 1.199 1.968 2.265 4.323" Properties=species:S:1:pos:R:3 pbc="T T T"
Y 0.000 0.000 0.000
Te 0.378 -2.149 4.156
Hf 1.442 -2.398 0.600
Ag 0.984 1.132 2.161
Ag -2.048 -0.883 1.395
```

Results
The magnetic moment is 0.208 μB/atom. The space group is P4/mmm, No. 123. The value obtained for the mass density is 6.40 Mg/m³.



--- two ---
Compound: YHfAg2Te
Source: the Alexandria database
Functional: PBE-GGA
Structure: optimized geometry

```
5
Lattice="-0.644 4.615 2.227 -3.970 -1.869 2.725 3.550 -1.502 4.141" Properties=species:S:1:pos:R:3 pbc="T T T"
Y 1.775 -0.751 2.070
Te 0.000 0.000 0.000
Hf -0.532 0.622 4.546
Ag -1.985 -0.934 1.362
Ag -0.322 2.308 1.113
```

Results
The magnetic moment is 0.367 μB/atom. The space group is P4/mmm, No. 123. The value obtained for the mass density is 6.72 Mg/m³.



Stability summary: most stable two, least stable one.



--- one ---
Compound: Hf2TiAg
Source: the Alexandria database
Functional: PBE-GGA
Structure: optimized geometry

```
8
Lattice="4.109 0.000 0.000 0.000 4.109 0.000 2.054 2.054 10.007" Properties=species:S:1:pos:R:3 pbc="T T T"
Hf 3.070 1.027 2.502
Hf 1.038 3.081 2.502
Hf 3.081 3.093 7.505
Hf 5.136 5.124 7.505
Ag 0.000 0.000 0.000
Ag 4.109 2.054 5.003
Ti 2.054 2.054 0.000
Ti 2.054 4.109 5.003
```

Results
The magnetic moment is 0.244 μB/atom. The space group is I-42d, No. 122. The value obtained for the mass density is 10.08 Mg/m³.



--- two ---
Compound: Hf2TiAg
Source: the Alexandria database
Functional: PBE-GGA
Structure: optimized geometry

```
4
Lattice="-2.856 1.155 -0.230 -1.802 -0.799 -2.379 -4.997 -7.377 4.255" Properties=species:S:1:pos:R:3 pbc="T T T"
Hf -4.109 -5.443 2.933
Hf -2.441 -1.815 0.452
Ti -4.831 -3.518 0.828
Ag -8.099 -7.130 2.510
```

Results
The magnetic moment is 0.000 μB/atom. The space group is R3m, No. 160. The value obtained for the mass density is 10.61 Mg/m³.



--- three ---
Compound: Hf2TiAg
Source: the Alexandria database
Functional: PBE-GGA
Structure: optimized geometry

```
4
Lattice="-2.577 -1.757 0.080 1.584 -2.257 1.459 -1.987 3.240 7.168" Properties=species:S:1:pos:R:3 pbc="T T T"
Hf -1.504 2.452 5.424
Hf -0.483 0.788 1.743
Ag -1.490 -0.387 4.353
Ti -0.496 -2.007 0.770
```

Results
The magnetic moment is 0.000 μB/atom. The space group is P4/mmm, No. 123. The value obtained for the mass density is 10.78 Mg/m³.



--- four ---
Compound: Hf2TiAg
Source: the Alexandria database
Functional: PBE-GGA
Structure: optimized geometry

```
4
Lattice="4.188 0.000 0.000 0.000 4.329 0.000 0.000 0.000 4.329" Properties=species:S:1:pos:R:3 pbc="T T T"
Hf 0.000 0.000 2.164
Hf 0.000 2.164 0.000
Ag 2.094 2.164 2.164
Ti 2.094 0.000 0.000
```

Results
The magnetic moment is 0.000 μB/atom. The space group is P4/mmm, No. 123. The value obtained for the mass density is 10.85 Mg/m³.



Stability summary: most stable three, least stable one.